(1)
This record from Alexandria describes an optimized crystal structure of CsNpMoO6. The functional is PBE+U.

Structure (CIF):
```
data_CsNpMoO6
_chemical_formula_sum 'Cs4 Np4 Mo4 O24'
_cell_length_a 8.7620
_cell_length_b 7.6428
_cell_length_c 10.6814
_cell_angle_alpha 76.06
_cell_angle_beta 90.00
_cell_angle_gamma 90.00
_space_group_name_H-M_alt 'P 1'
_space_group_IT_number 1
loop_
_space_group_symop_operation_xyz
'x,y,z'
loop_
_atom_site_label
_atom_site_type_symbol
_atom_site_fract_x
_atom_site_fract_y
_atom_site_fract_z
Cs1 Cs 0.7633 0.4569 0.3603
Cs2 Cs 0.2367 0.5431 0.6397
Cs3 Cs 0.2633 0.5431 0.1397
Cs4 Cs 0.7367 0.4569 0.8603
Np1 Np 0.4872 0.9872 0.3245
Np2 Np 0.5128 0.0128 0.6755
Np3 Np 0.9872 0.0128 0.1755
Np4 Np 0.0128 0.9872 0.8245
Mo1 Mo 0.6480 0.8872 0.0575
Mo2 Mo 0.3520 0.1128 0.9425
Mo3 Mo 0.1480 0.1128 0.4425
Mo4 Mo 0.8520 0.8872 0.5575
O1 O 0.4383 0.9614 0.1094
O2 O 0.5617 0.0386 0.8906
O3 O 0.9383 0.0386 0.3906
O4 O 0.0617 0.9614 0.6094
O5 O 0.9548 0.2552 0.1251
O6 O 0.0452 0.7448 0.8749
O7 O 0.4548 0.7448 0.3749
O8 O 0.5452 0.2552 0.6251
O9 O 0.5154 0.2297 0.2701
O10 O 0.4846 0.7703 0.7299
O11 O 0.0154 0.7703 0.2299
O12 O 0.9846 0.2297 0.7701
O13 O 0.6385 0.6552 0.0722
O14 O 0.3615 0.3448 0.9278
O15 O 0.1385 0.3448 0.4278
O16 O 0.8615 0.6552 0.5722
O17 O 0.7137 0.9424 0.2184
O18 O 0.2863 0.0576 0.7816
O19 O 0.2137 0.0576 0.2816
O20 O 0.7863 0.9424 0.7184
O21 O 0.6492 0.9751 0.4916
O22 O 0.3508 0.0249 0.5084
O23 O 0.1492 0.0249 0.0084
O24 O 0.8508 0.9751 0.9916
```

Results
* density of states at the Fermi level: 0.397 states/eV/atom
* raw total energy: -7.910 eV per atom
* crystal system: monoclinic

=====

(2)
This record from Alexandria describes an optimized crystal structure of CsNp2MoO8. The functional is PBE+U.

Structure (CIF):
```
data_CsNp2MoO8
_chemical_formula_sum 'Cs1 Np2 Mo1 O8'
_cell_length_a 4.7921
_cell_length_b 4.8617
_cell_length_c 9.4591
_cell_angle_alpha 86.70
_cell_angle_beta 90.39
_cell_angle_gamma 88.14
_space_group_name_H-M_alt 'P 1'
_space_group_IT_number 1
loop_
_space_group_symop_operation_xyz
'x,y,z'
loop_
_atom_site_label
_atom_site_type_symbol
_atom_site_fract_x
_atom_site_fract_y
_atom_site_fract_z
Cs1 Cs 0.0000 0.0000 0.5000
Np1 Np 0.4722 0.4948 0.8159
Np2 Np 0.5278 0.5052 0.1841
Mo1 Mo 0.0000 0.0000 0.0000
O1 O 0.2114 0.7770 0.1743
O2 O 0.6840 0.6946 0.0007
O3 O 0.8121 0.2050 0.1717
O4 O 0.7886 0.2230 0.8257
O5 O 0.3160 0.3054 0.9993
O6 O 0.1879 0.7950 0.8283
O7 O 0.5854 0.6455 0.6393
O8 O 0.4146 0.3545 0.3607
```

Results
* density of states at the Fermi level: 0.172 states/eV/atom
* raw total energy: -8.437 eV per atom
* crystal system: triclinic

=====

Which formula does entry 1 have? CsNpMoO6

=====

Copy entry 2 word for word.
This record from Alexandria describes an optimized crystal structure of CsNp2MoO8. The functional is PBE+U.

Structure (CIF):
```
data_CsNp2MoO8
_chemical_formula_sum 'Cs1 Np2 Mo1 O8'
_cell_length_a 4.7921
_cell_length_b 4.8617
_cell_length_c 9.4591
_cell_angle_alpha 86.70
_cell_angle_beta 90.39
_cell_angle_gamma 88.14
_space_group_name_H-M_alt 'P 1'
_space_group_IT_number 1
loop_
_space_group_symop_operation_xyz
'x,y,z'
loop_
_atom_site_label
_atom_site_type_symbol
_atom_site_fract_x
_atom_site_fract_y
_atom_site_fract_z
Cs1 Cs 0.0000 0.0000 0.5000
Np1 Np 0.4722 0.4948 0.8159
Np2 Np 0.5278 0.5052 0.1841
Mo1 Mo 0.0000 0.0000 0.0000
O1 O 0.2114 0.7770 0.1743
O2 O 0.6840 0.6946 0.0007
O3 O 0.8121 0.2050 0.1717
O4 O 0.7886 0.2230 0.8257
O5 O 0.3160 0.3054 0.9993
O6 O 0.1879 0.7950 0.8283
O7 O 0.5854 0.6455 0.6393
O8 O 0.4146 0.3545 0.3607
```

Results
* density of states at the Fermi level: 0.172 states/eV/atom
* raw total energy: -8.437 eV per atom
* crystal system: triclinic

=====

density of states at the Fermi level of number 1 (CsNpMoO6)? 0.397 states/eV/atom

=====

What is the raw total energy in the first record? -7.910 eV per atom